1.
# PBE Sr2ScAl, relaxed
# Total magnetic moment in μB per cell: 2.97
# E in eV/f.u.: -12.26
data_Sr2ScAl
_chemical_formula_sum 'Sr6 Sc3 Al3'
_cell_length_a 3.7397
_cell_length_b 3.7397
_cell_length_c 34.1101
_cell_angle_alpha 90.00
_cell_angle_beta 90.00
_cell_angle_gamma 120.00
_symmetry_space_group_name_H-M 'R -3 m'
_symmetry_Int_Tables_number 166
_symmetry_space_group_name_Hall '-R 3 2"'
loop_
_atom_site_label
_atom_site_fract_x
_atom_site_fract_y
_atom_site_fract_z
Sr1 0.0000 0.0000 0.2427
Sc1 0.0000 0.0000 0.0000
Al1 0.0000 0.0000 0.5000


2.
# PBE RbCa3Pb, relaxed
# Total magnetic moment in μB per cell: 1.65
# Relative energy among the computed polymorphs in kcal/mol of atoms: 23.29
# E in eV/f.u.: -6.01
data_RbCa3Pb
_chemical_formula_sum 'Rb1 Ca3 Pb1'
_cell_length_a 6.030
_cell_length_b 6.030
_cell_length_c 6.030
_cell_angle_alpha 90.00
_cell_angle_beta 90.00
_cell_angle_gamma 90.00
_symmetry_space_group_name_H-M 'P m -3 m'
_symmetry_Int_Tables_number 221
_symmetry_space_group_name_Hall '-P 4 2 3'
loop_
_atom_site_label
_atom_site_fract_x
_atom_site_fract_y
_atom_site_fract_z
Rb1 0.000 0.000 0.000
Ca1 0.000 0.000 0.500
Pb1 0.500 0.500 0.500


3.
# PBE CaPmPd, relaxed
# Total magnetic moment in μB per cell: 0.00
# Relative energy among the computed polymorphs in kcal/mol of atoms: 0.13
# E in eV/f.u.: -13.51
data_CaPmPd
_chemical_formula_sum 'Ca4 Pm4 Pd4'
_cell_length_a 12.617
_cell_length_b 4.037
_cell_length_c 8.414
_cell_angle_alpha 90.00
_cell_angle_beta 125.54
_cell_angle_gamma 90.00
_symmetry_space_group_name_H-M 'C 1 2/m 1'
_symmetry_Int_Tables_number 12
loop_
_symmetry_equiv_pos_as_xyz
'x,y,z'
'-x,-y,-z'
'-x,y,-z'
'x,-y,z'
'x+1/2,y+1/2,z'
'-x+1/2,-y+1/2,-z'
'-x+1/2,y+1/2,-z'
'x+1/2,-y+1/2,z'
loop_
_atom_site_label
_atom_site_fract_x
_atom_site_fract_y
_atom_site_fract_z
Ca1 0.079 0.000 0.373
Pm1 0.174 0.500 0.081
Pd1 0.128 0.500 0.691


4.
# PBE MgP2PdCl, relaxed
# Formation energy without anion corrections in meV/atom: 282
# Total magnetic moment in μB per cell: 0.89
# Relative energy among the computed polymorphs in kcal/mol of atoms: 0.00
# E in eV/f.u.: -18.04
data_MgP2PdCl
_chemical_formula_sum 'Mg1 P2 Pd1 Cl1'
_cell_length_a 4.632
_cell_length_b 4.632
_cell_length_c 5.186
_cell_angle_alpha 90.00
_cell_angle_beta 90.00
_cell_angle_gamma 90.00
_symmetry_space_group_name_H-M 'P 4/m m m'
_symmetry_Int_Tables_number 123
_symmetry_space_group_name_Hall '-P 4 2'
loop_
_atom_site_label
_atom_site_fract_x
_atom_site_fract_y
_atom_site_fract_z
Mg1 0.000 0.000 0.000
P1 0.000 0.500 0.500
Pd1 0.500 0.500 0.500
Cl1 0.500 0.500 0.000


5.
# PBE Pm3DyH8, relaxed
# Total magnetic moment in μB per cell: 0.00
# E in eV/f.u.: -53.87
data_Pm3DyH8
_chemical_formula_sum 'Pm3 Dy1 H8'
_cell_length_a 5.350
_cell_length_b 5.350
_cell_length_c 5.350
_cell_angle_alpha 90.00
_cell_angle_beta 90.00
_cell_angle_gamma 90.00
_symmetry_space_group_name_H-M 'P m -3 m'
_symmetry_Int_Tables_number 221
_symmetry_space_group_name_Hall '-P 4 2 3'
loop_
_atom_site_label
_atom_site_fract_x
_atom_site_fract_y
_atom_site_fract_z
Pm1 0.000 0.000 0.500
Dy1 0.500 0.500 0.500
H1 0.256 0.256 0.256


6.
# PBE TeAu4, relaxed
# Formation energy without anion corrections in meV/atom: 160
# Total magnetic moment in μB per cell: 0.00
# Relative energy among the computed polymorphs in kcal/mol of atoms: 0.00
# E in eV/f.u.: -15.45
data_TeAu4
_chemical_formula_sum 'Te2 Au8'
_cell_length_a 3.893
_cell_length_b 3.893
_cell_length_c 14.197
_cell_angle_alpha 90.00
_cell_angle_beta 90.00
_cell_angle_gamma 90.00
_symmetry_space_group_name_H-M 'I 4/m m m'
_symmetry_Int_Tables_number 139
_symmetry_space_group_name_Hall '-I 4 2'
loop_
_atom_site_label
_atom_site_fract_x
_atom_site_fract_y
_atom_site_fract_z
Te1 0.000 0.000 0.000
Au1 0.000 0.000 0.403
Au2 0.000 0.500 0.250